No. 1
# NdEr3Hg2 (PBE-GGA, optimized geometry)
data_NdEr3Hg2
_chemical_formula_sum 'Nd2 Er6 Hg4'
_space_group_name_H-M_alt 'P m c 21'
_space_group_IT_number 26
_cell_length_a 5.0814
_cell_length_b 9.2559
_cell_length_c 7.1568
_cell_angle_alpha 90.00
_cell_angle_beta 90.00
_cell_angle_gamma 90.00
loop_
_space_group_symop_operation_xyz
'x,y,z'
'-x,-y,z+1/2'
'-x,y,z'
'x,-y,z+1/2'
loop_
_atom_site_label
_atom_site_type_symbol
_atom_site_fract_x
_atom_site_fract_y
_atom_site_fract_z
Nd1 Nd 0.0000 0.0573 0.0000
Er1 Er 0.0000 0.3289 0.6506
Er2 Er 0.5000 0.1808 0.3181
Er3 Er 0.5000 0.4423 0.9678
Hg1 Hg 0.0000 0.3554 0.2274
Hg2 Hg 0.5000 0.1502 0.7404
# Energy above the lowest structure with this stoichiometry = 0.000 eV per atom
# Crystal system = orthorhombic
# Magnetic moment = 0.001 μB per cell
# ΔH_f (0 K) = -348 meV/atom
# Uncorrected energy = -0.2590 Ry per atom


No. 2
# Nd4ErHg5 (PBE-GGA, optimized geometry)
data_Nd4ErHg5
_chemical_formula_sum 'Nd4 Er1 Hg5'
_space_group_name_H-M_alt 'P 4/m m m'
_space_group_IT_number 123
_space_group_name_Hall '-P 4 2'
_cell_length_a 3.7949
_cell_length_b 3.7949
_cell_length_c 19.1882
_cell_angle_alpha 90.00
_cell_angle_beta 90.00
_cell_angle_gamma 90.00
loop_
_atom_site_label
_atom_site_type_symbol
_atom_site_fract_x
_atom_site_fract_y
_atom_site_fract_z
Nd1 Nd 0.0000 0.0000 0.1017
Nd2 Nd 0.0000 0.0000 0.3047
Er1 Er 0.0000 0.0000 0.5000
Hg1 Hg 0.5000 0.5000 0.0000
Hg2 Hg 0.5000 0.5000 0.2026
Hg3 Hg 0.5000 0.5000 0.4099
# Crystal system = tetragonal
# Magnetic moment = 1.997 μB per cell
# ΔH_f (0 K) = -471 meV/atom
# Uncorrected energy = -0.2194 Ry per atom


No. 3
# NdEr2Hg8 (PBE-GGA, optimized geometry)
data_NdEr2Hg8
_chemical_formula_sum 'Nd2 Er4 Hg16'
_space_group_name_H-M_alt 'C 1 2/m 1'
_space_group_IT_number 12
_cell_length_a 16.2151
_cell_length_b 5.0851
_cell_length_c 7.6340
_cell_angle_alpha 90.00
_cell_angle_beta 118.04
_cell_angle_gamma 90.00
loop_
_space_group_symop_operation_xyz
'x,y,z'
'-x,-y,-z'
'-x,y,-z'
'x,-y,z'
'x+1/2,y+1/2,z'
'-x+1/2,-y+1/2,-z'
'-x+1/2,y+1/2,-z'
'x+1/2,-y+1/2,z'
loop_
_atom_site_label
_atom_site_type_symbol
_atom_site_fract_x
_atom_site_fract_y
_atom_site_fract_z
Nd1 Nd 0.0000 0.0000 0.0000
Er1 Er 0.1955 0.5000 0.6949
Hg1 Hg 0.9998 0.5000 0.2973
Hg2 Hg 0.1496 0.0000 0.4427
Hg3 Hg 0.1503 0.0000 0.8576
Hg4 Hg 0.1557 0.5000 0.1561
# Energy above the lowest structure with this stoichiometry = 0.016 eV per atom
# Crystal system = monoclinic
# Magnetic moment = 0.000 μB per cell
# ΔH_f (0 K) = -298 meV/atom
# Uncorrected energy = -0.1309 Ry per atom


No. 4
# Nd2ErHg (PBE-GGA, optimized geometry)
data_Nd2ErHg
_chemical_formula_sum 'Nd6 Er3 Hg3'
_space_group_name_H-M_alt 'R -3 m'
_space_group_IT_number 166
_space_group_name_Hall '-R 3 2"'
_cell_length_a 3.6697
_cell_length_b 3.6697
_cell_length_c 32.5505
_cell_angle_alpha 90.00
_cell_angle_beta 90.00
_cell_angle_gamma 120.00
loop_
_atom_site_label
_atom_site_type_symbol
_atom_site_fract_x
_atom_site_fract_y
_atom_site_fract_z
Nd1 Nd 0.0000 0.0000 0.2445
Er1 Er 0.0000 0.0000 0.0000
Hg1 Hg 0.0000 0.0000 0.5000
# Energy above the lowest structure with this stoichiometry = 0.101 eV per atom
# Crystal system = trigonal
# Magnetic moment = 0.000 μB per cell
# ΔH_f (0 K) = -127 meV/atom
# Uncorrected energy = -0.2739 Ry per atom


No. 5
# NdEr2Hg8 (PBE-GGA, optimized geometry)
data_NdEr2Hg8
_chemical_formula_sum 'Nd2 Er4 Hg16'
_space_group_name_H-M_alt 'C 1 2/m 1'
_space_group_IT_number 12
_cell_length_a 16.0507
_cell_length_b 4.9432
_cell_length_c 7.2696
_cell_angle_alpha 90.00
_cell_angle_beta 108.63
_cell_angle_gamma 90.00
loop_
_space_group_symop_operation_xyz
'x,y,z'
'-x,-y,-z'
'-x,y,-z'
'x,-y,z'
'x+1/2,y+1/2,z'
'-x+1/2,-y+1/2,-z'
'-x+1/2,y+1/2,-z'
'x+1/2,-y+1/2,z'
loop_
_atom_site_label
_atom_site_type_symbol
_atom_site_fract_x
_atom_site_fract_y
_atom_site_fract_z
Nd1 Nd 0.0000 0.0000 0.0000
Er1 Er 0.2165 0.5000 0.6546
Hg1 Hg 0.0334 0.5000 0.7288
Hg2 Hg 0.0988 0.0000 0.4654
Hg3 Hg 0.1490 0.5000 0.1957
Hg4 Hg 0.1787 0.0000 0.9074
# Energy above the lowest structure with this stoichiometry = 0.000 eV per atom
# Crystal system = monoclinic
# Magnetic moment = 0.000 μB per cell
# ΔH_f (0 K) = -314 meV/atom
# Uncorrected energy = -0.1320 Ry per atom


No. 6
# Nd3Er3Hg2 (PBE-GGA, optimized geometry)
data_Nd3Er3Hg2
_chemical_formula_sum 'Nd12 Er12 Hg8'
_space_group_name_H-M_alt 'C m c m'
_space_group_IT_number 63
_space_group_name_Hall '-C 2c 2'
_cell_length_a 5.1881
_cell_length_b 11.7907
_cell_length_c 16.0010
_cell_angle_alpha 90.00
_cell_angle_beta 90.00
_cell_angle_gamma 90.00
loop_
_atom_site_label
_atom_site_type_symbol
_atom_site_fract_x
_atom_site_fract_y
_atom_site_fract_z
Nd1 Nd 0.0000 0.0399 0.1077
Nd2 Nd 0.0000 0.2853 0.2500
Er1 Er 0.0000 0.3581 0.0352
Er2 Er 0.0000 0.4279 0.7500
Hg1 Hg 0.0000 0.2335 0.6241
# Crystal system = orthorhombic
# Magnetic moment = 0.000 μB per cell
# ΔH_f (0 K) = -184 meV/atom
# Uncorrected energy = -0.2762 Ry per atom


No. 7
# NdErHg6 (PBE-GGA, optimized geometry)
data_NdErHg6
_chemical_formula_sum 'Nd2 Er2 Hg12'
_space_group_name_H-M_alt 'A m m 2'
_space_group_IT_number 38
_cell_length_a 5.0339
_cell_length_b 6.7488
_cell_length_c 11.5814
_cell_angle_alpha 90.00
_cell_angle_beta 90.00
_cell_angle_gamma 90.00
loop_
_space_group_symop_operation_xyz
'x,y,z'
'-x,-y,z'
'-x,y,z'
'x,-y,z'
'x,y+1/2,z+1/2'
'-x,-y+1/2,z+1/2'
'-x,y+1/2,z+1/2'
'x,-y+1/2,z+1/2'
loop_
_atom_site_label
_atom_site_type_symbol
_atom_site_fract_x
_atom_site_fract_y
_atom_site_fract_z
Nd1 Nd 0.0000 0.0000 0.0000
Er1 Er 0.5000 0.0000 0.6755
Hg1 Hg 0.0000 0.0000 0.5090
Hg2 Hg 0.0000 0.2484 0.2522
Hg3 Hg 0.5000 0.0000 0.1725
Hg4 Hg 0.5000 0.2393 0.4196
# Energy above the lowest structure with this stoichiometry = 0.000 eV per atom
# Crystal system = orthorhombic
# Magnetic moment = 0.000 μB per cell
# ΔH_f (0 K) = -350 meV/atom
# Uncorrected energy = -0.1281 Ry per atom


No. 8
# Nd6ErHg2 (PBE-GGA, optimized geometry)
data_Nd6ErHg2
_chemical_formula_sum 'Nd12 Er2 Hg4'
_space_group_name_H-M_alt 'C 1 2/m 1'
_space_group_IT_number 12
_cell_length_a 12.9749
_cell_length_b 3.7896
_cell_length_c 12.2260
_cell_angle_alpha 90.00
_cell_angle_beta 108.83
_cell_angle_gamma 90.00
loop_
_space_group_symop_operation_xyz
'x,y,z'
'-x,-y,-z'
'-x,y,-z'
'x,-y,z'
'x+1/2,y+1/2,z'
'-x+1/2,-y+1/2,-z'
'-x+1/2,y+1/2,-z'
'x+1/2,-y+1/2,z'
loop_
_atom_site_label
_atom_site_type_symbol
_atom_site_fract_x
_atom_site_fract_y
_atom_site_fract_z
Nd1 Nd 0.0230 0.0000 0.3358
Nd2 Nd 0.1858 0.5000 0.8764
Nd3 Nd 0.1905 0.5000 0.5914
Er1 Er 0.0000 0.0000 0.0000
Hg1 Hg 0.1361 0.5000 0.1905
# Crystal system = monoclinic
# Magnetic moment = 0.000 μB per cell
# ΔH_f (0 K) = -211 meV/atom
# Uncorrected energy = -0.2913 Ry per atom


No. 9
# NdEr4Hg5 (PBE-GGA, optimized geometry)
data_NdEr4Hg5
_chemical_formula_sum 'Nd1 Er4 Hg5'
_space_group_name_H-M_alt 'P 4/m m m'
_space_group_IT_number 123
_space_group_name_Hall '-P 4 2'
_cell_length_a 3.7076
_cell_length_b 3.7076
_cell_length_c 18.7323
_cell_angle_alpha 90.00
_cell_angle_beta 90.00
_cell_angle_gamma 90.00
loop_
_atom_site_label
_atom_site_type_symbol
_atom_site_fract_x
_atom_site_fract_y
_atom_site_fract_z
Nd1 Nd 0.0000 0.0000 0.0000
Er1 Er 0.0000 0.0000 0.2056
Er2 Er 0.0000 0.0000 0.4021
Hg1 Hg 0.5000 0.5000 0.1111
Hg2 Hg 0.5000 0.5000 0.3037
Hg3 Hg 0.5000 0.5000 0.5000
# Crystal system = tetragonal
# Magnetic moment = 0.570 μB per cell
# ΔH_f (0 K) = -479 meV/atom
# Uncorrected energy = -0.2155 Ry per atom


No. 10
# Nd2Er3Hg3 (PBE-GGA, optimized geometry)
data_Nd2Er3Hg3
_chemical_formula_sum 'Nd4 Er6 Hg6'
_space_group_name_H-M_alt 'I m m m'
_space_group_IT_number 71
_space_group_name_Hall '-I 2 2'
_cell_length_a 3.7606
_cell_length_b 5.2668
_cell_length_c 22.3929
_cell_angle_alpha 90.00
_cell_angle_beta 90.00
_cell_angle_gamma 90.00
loop_
_atom_site_label
_atom_site_type_symbol
_atom_site_fract_x
_atom_site_fract_y
_atom_site_fract_z
Nd1 Nd 0.0000 0.0000 0.2302
Er1 Er 0.0000 0.0000 0.0000
Er2 Er 0.0000 0.5000 0.1177
Hg1 Hg 0.0000 0.0000 0.5000
Hg2 Hg 0.0000 0.5000 0.3872
# Crystal system = orthorhombic
# Magnetic moment = 0.000 μB per cell
# ΔH_f (0 K) = -341 meV/atom
# Uncorrected energy = -0.2467 Ry per atom


ΔH_f (0 K) of number 9 (NdEr4Hg5)? -479 meV/atom